1.
First-principles (GGA-PBE) data for a relaxed structure of RbReHgCl2, as listed in Alexandria via LeMat-Bulk.

Properties
**Total energy**: -0.0954 Ha/atom
**Formation energy without anion corrections**: 887 meV/atom

Cell: 5.5549 5.5549 6.5986 Å, 90.00 90.00 90.00°
Space group P4/mmm (No. 123)
Asymmetric unit:
Rb1 0.0000 0.0000 0.0000
Re1 0.5000 0.5000 0.0000
Hg1 0.0000 0.0000 0.5000
Cl1 0.0000 0.5000 0.5000


2.
First-principles (GGA-PBE) data for a relaxed structure of Pr4SmHo5, as listed in Alexandria via LeMat-Bulk.

Properties
**Total energy**: -0.1710 Ha/atom
**ΔE to the lowest computed polymorph**: 0.000 eV/atom
**Energy of formation from the pure elements**: 0.018 eV/atom

Cell: 3.6290 3.6290 25.2641 Å, 90.00 90.00 90.00°
Space group P4/mmm (No. 123)
Asymmetric unit:
Pr1 0.0000 0.0000 0.1004
Pr2 0.0000 0.0000 0.3011
Sm1 0.0000 0.0000 0.5000
Ho1 0.5000 0.5000 0.0000
Ho2 0.5000 0.5000 0.2008
Ho3 0.5000 0.5000 0.4018


3.
First-principles (GGA-PBE) data for a relaxed structure of CdSiSnHg, as listed in Alexandria via LeMat-Bulk.

Properties
**Total energy**: -0.0895 Ha/atom
**ΔE to the lowest computed polymorph**: 0.030 eV/atom
**Formation energy without anion corrections**: 226 meV/atom

Cell: 6.9736 3.9921 7.7522 Å, 90.00 109.25 90.00°
Space group Cm (No. 8)
Asymmetric unit:
Cd1 0.0000 0.0000 0.0000
Si1 0.2589 0.0000 0.7630
Sn1 0.3572 0.5000 0.5704
Hg1 0.4220 0.0000 0.2680


Repeat the second record exactly.
First-principles (GGA-PBE) data for a relaxed structure of Pr4SmHo5, as listed in Alexandria via LeMat-Bulk.

Properties
**Total energy**: -0.1710 Ha/atom
**ΔE to the lowest computed polymorph**: 0.000 eV/atom
**Energy of formation from the pure elements**: 0.018 eV/atom

Cell: 3.6290 3.6290 25.2641 Å, 90.00 90.00 90.00°
Space group P4/mmm (No. 123)
Asymmetric unit:
Pr1 0.0000 0.0000 0.1004
Pr2 0.0000 0.0000 0.3011
Sm1 0.0000 0.0000 0.5000
Ho1 0.5000 0.5000 0.0000
Ho2 0.5000 0.5000 0.2008
Ho3 0.5000 0.5000 0.4018